A plane-wave DFT calculation with GGA+U was carried out for a relaxed structure of Li4CrFe3O8.

Geometry as CIF:
```
data_Li4CrFe3O8
_chemical_formula_sum 'Li8 Cr2 Fe6 O16'
_cell_length_a 10.253
_cell_length_b 5.987
_cell_length_c 5.074
_cell_angle_alpha 90.00
_cell_angle_beta 108.01
_cell_angle_gamma 90.00
_symmetry_space_group_name_H-M 'C 1 2/m 1'
_symmetry_Int_Tables_number 12
loop_
_symmetry_equiv_pos_as_xyz
'x,y,z'
'-x,-y,-z'
'-x,y,-z'
'x,-y,z'
'x+1/2,y+1/2,z'
'-x+1/2,-y+1/2,-z'
'-x+1/2,y+1/2,-z'
'x+1/2,-y+1/2,z'
loop_
_atom_site_label
_atom_site_fract_x
_atom_site_fract_y
_atom_site_fract_z
Li1 0.249 0.000 0.498
Li2 0.250 0.250 0.000
Cr1 0.000 0.000 0.000
Fe1 0.000 0.249 0.500
Fe2 0.000 0.500 0.000
O1 0.109 0.247 0.247
O2 0.118 0.500 0.747
O3 0.119 0.000 0.748
```

## Properties
* offset from the most stable computed form: 2.82 kcal/mol of atoms
* V: 9.26 A^3/atom
* crystal system: monoclinic